The following is a GGA-PBEsol calculation of a relaxed SiP2Se crystal, from Alexandria.

Summary:
Theoretical density, g/cm³: 4.3
Magnetic moment, μB/atom: 0.00
V, A^3/atom: 16.382
DOS(E_F), states/eV/f.u.: 1.2
Formation energy from raw total energies, eV per atom: 0.079

CIF file:
```
data_SiP2Se
_chemical_formula_sum 'Si2 P4 Se2'
_space_group_name_H-M_alt 'C 1 m 1'
_space_group_IT_number 8
_cell_length_a 10.777
_cell_length_b 3.590
_cell_length_c 3.590
_cell_angle_alpha 90.00
_cell_angle_beta 109.35
_cell_angle_gamma 90.00
loop_
_space_group_symop_operation_xyz
'x,y,z'
'x,-y,z'
'x+1/2,y+1/2,z'
'x+1/2,-y+1/2,z'
loop_
_atom_site_label
_atom_site_type_symbol
_atom_site_fract_x
_atom_site_fract_y
_atom_site_fract_z
_atom_site_occupancy
Si1 Si 0.000 0.000 0.000 1
P1 P 0.247 0.000 0.247 1
P2 P 0.479 0.000 0.478 1
Se1 Se 0.249 0.500 0.748 1
```